Material: CrW4Cl
Method: DFT, GGA-PBE
State: optimized geometry

```
6
Lattice="0.0000 3.7610 3.7610 3.7610 0.0000 3.7610 3.7610 3.7610 0.0000" Properties=species:S:1:pos:R:3 pbc="T T T"
Cr 0.0000 0.0000 0.0000
W 2.8244 2.8244 4.6976
W 4.6976 4.6976 4.6976
W 4.6976 2.8244 2.8244
W 2.8244 4.6976 2.8244
Cl 1.8805 1.8805 1.8805
```

Values from the calculation:
crystal system: cubic
ΔE_f (raw): 1165.5 meV per atom